[1]
Compound: TmZrMn2
Source: Alexandria
Functional: PBE
Structure: optimized geometry

## Properties
ΔE to the lowest computed polymorph: 0.00 eV/f.u.
density: 8.1 Mg/m³
N(E_F): 4.78 states/eV per cell
ΔH_f (0 K): 0.071 eV/atom
V: 75.4 Å³ per cell

a = 3.3696 Å, b = 3.3696 Å, c = 6.6448 Å
α = 90.00°, β = 90.00°, γ = 90.00°
Last column: nearest neighbours and their distance in Å.
Fractional coordinates of all 4 atoms:
Mn 0.0000 0.0000 0.7867  4 Zr 2.77, 1 Mn 2.83, 4 Tm 3.05
Mn 0.0000 0.0000 0.2133  4 Zr 2.77, 1 Mn 2.83, 4 Tm 3.05
Tm 0.5000 0.5000 0.5000  8 Mn 3.05, 2 Zr 3.32, 4 Tm 3.37
Zr 0.5000 0.5000 0.0000  8 Mn 2.77

[2]
Compound: Tb2PmDyY6
Source: Alexandria
Functional: PBE
Structure: optimized geometry

## Properties
density: 5.9 Mg/m³
N(E_F): 30.77 states/eV per cell
ΔH_f (0 K): 0.117 eV/atom
V: 655.7 Å³ per cell

a = 9.6553 Å, b = 8.7979 Å, c = 8.7979 Å
α = 117.57°, β = 94.25°, γ = 94.25°
Last column: nearest neighbours and their distance in Å.
Fractional coordinates of all 20 atoms:
Tb 0.4536 0.8035 0.7015  6 Y 3.28-3.64, 2 Pm 3.39-3.41, 1 Dy 3.53
Tb 0.0464 0.2985 0.1965  6 Y 3.28-3.64, 2 Pm 3.39-3.41, 1 Dy 3.53
Tb 0.5464 0.1965 0.2985  6 Y 3.28-3.64, 2 Pm 3.39-3.41, 1 Dy 3.53
Tb 0.9536 0.7015 0.8035  6 Y 3.28-3.64, 2 Pm 3.39-3.41, 1 Dy 3.53
Pm 0.2500 0.9766 0.0234  4 Tb 3.39-3.41, 4 Y 3.57-3.67
Pm 0.7500 0.0234 0.9766  4 Tb 3.39-3.41, 4 Y 3.57-3.67
Dy 0.2500 0.4088 0.5912  6 Y 3.42-3.55, 2 Tb 3.53
Dy 0.7500 0.5912 0.4088  6 Y 3.42-3.55, 2 Tb 3.53
Y 0.0569 0.1217 0.7495  7 Y 3.42-3.75, 1 Tb 3.51, 1 Pm 3.67
Y 0.4431 0.2505 0.8783  7 Y 3.42-3.75, 1 Tb 3.51, 1 Pm 3.67
Y 0.9431 0.8783 0.2505  7 Y 3.42-3.75, 1 Tb 3.51, 1 Pm 3.67
Y 0.5569 0.7495 0.1217  7 Y 3.42-3.75, 1 Tb 3.51, 1 Pm 3.67
Y 0.3166 0.9832 0.4312  3 Y 3.25-3.60, 2 Tb 3.41-3.64, 1 Dy 3.47, 1 Pm 3.57
Y 0.1834 0.5688 0.0168  3 Y 3.25-3.60, 2 Tb 3.41-3.64, 1 Dy 3.47, 1 Pm 3.57
Y 0.6834 0.0168 0.5688  3 Y 3.25-3.60, 2 Tb 3.41-3.64, 1 Dy 3.47, 1 Pm 3.57
Y 0.8166 0.4312 0.9832  3 Y 3.25-3.60, 2 Tb 3.41-3.64, 1 Dy 3.47, 1 Pm 3.57
Y 0.1178 0.7062 0.4924  4 Y 3.25-3.53, 3 Tb 3.28-3.45, 2 Dy 3.42-3.55
Y 0.3822 0.5076 0.2938  4 Y 3.25-3.53, 3 Tb 3.28-3.45, 2 Dy 3.42-3.55
Y 0.8822 0.2938 0.5076  4 Y 3.25-3.53, 3 Tb 3.28-3.45, 2 Dy 3.42-3.55
Y 0.6178 0.4924 0.7062  4 Y 3.25-3.53, 3 Tb 3.28-3.45, 2 Dy 3.42-3.55

[3]
Compound: MnIn2Ru
Source: Alexandria
Functional: PBE
Structure: optimized geometry

## Properties
ΔE to the lowest computed polymorph: 0.93 eV/f.u.
density: 8.8 Mg/m³
N(E_F): 3.22 states/eV per cell
ΔH_f (0 K): 0.359 eV/atom
V: 72.7 Å³ per cell

a = 2.9946 Å, b = 2.9946 Å, c = 8.8952 Å
α = 90.00°, β = 90.00°, γ = 114.31°
Last column: nearest neighbours and their distance in Å.
Fractional coordinates of all 4 atoms:
In 0.0000 0.0000 0.9947  2 Ru 2.72, 2 Mn 2.79, 4 In 2.99
In 0.0000 0.0000 0.5053  2 Ru 2.72, 2 Mn 2.79, 4 In 2.99
Mn 0.5000 0.5000 0.2500  4 In 2.79, 4 Mn 2.99
Ru 0.5000 0.5000 0.7500  4 In 2.72, 4 Ru 2.99

[4]
Compound: AuI2NO
Source: Alexandria
Functional: PBE
Structure: optimized geometry

## Properties
ΔE to the lowest computed polymorph: 0.00 eV/f.u.
formation energy without anion corrections: 1246 meV/atom
density: 8.3 Mg/m³
N(E_F): 4.33 states/eV per cell
V: 96.6 Å³ per cell

a = 5.1932 Å, b = 5.1932 Å, c = 3.5811 Å
α = 90.00°, β = 90.00°, γ = 90.00°
Last column: nearest neighbours and their distance in Å.
Fractional coordinates of all 5 atoms:
I 0.0000 0.5000 0.0000  2 N 2.60
I 0.5000 0.0000 0.0000  2 N 2.60
Au 0.5000 0.5000 0.5000  8 I 3.15
O 0.0000 0.0000 0.5000  2 N 1.79
N 0.0000 0.0000 0.0000  2 O 1.79

[5]
Compound: DyPd5Au5
Source: Alexandria
Functional: PBE
Structure: optimized geometry

## Properties
density: 13.8 Mg/m³
N(E_F): 3.44 states/eV per cell
ΔH_f (0 K): -0.257 eV/atom
V: 202.7 Å³ per cell

a = 5.7097 Å, b = 6.2972 Å, c = 7.5651 Å
α = 49.37°, β = 98.55°, γ = 100.80°
Last column: nearest neighbours and their distance in Å.
Fractional coordinates of all 11 atoms:
Dy 0.0000 0.0000 0.0000  6 Pd 2.84-2.85, 6 Au 2.94-2.95
Pd 0.1635 0.4934 0.1680  5 Au 2.80-2.93, 1 Dy 2.85, 5 Pd 2.86-2.99
Pd 0.1632 0.0029 0.6616  5 Au 2.81-2.91, 1 Dy 2.84, 5 Pd 2.86-2.99
Pd 0.5000 0.0000 0.0000  4 Au 2.77-2.82, 2 Dy 2.85, 4 Pd 2.94-2.96
Pd 0.8368 0.9971 0.3384  5 Au 2.81-2.91, 1 Dy 2.84, 5 Pd 2.86-2.99
Pd 0.8365 0.5066 0.8320  5 Au 2.80-2.93, 1 Dy 2.85, 5 Pd 2.86-2.99
Au 0.3421 0.9773 0.3417  5 Pd 2.77-2.93, 5 Au 2.84-3.06, 1 Dy 2.94
Au 0.3443 0.5058 0.8280  5 Pd 2.80-2.91, 5 Au 2.85-3.06, 1 Dy 2.95
Au 0.0000 0.5000 0.5000  4 Pd 2.82-2.83, 4 Au 2.84-2.94, 2 Dy 2.95
Au 0.6557 0.4942 0.1720  5 Pd 2.80-2.91, 5 Au 2.85-3.06, 1 Dy 2.95
Au 0.6579 0.0227 0.6583  5 Pd 2.77-2.93, 5 Au 2.84-3.06, 1 Dy 2.94

[6]
Compound: PrSm5Zn4
Source: Alexandria
Functional: PBE
Structure: optimized geometry

## Properties
density: 7.3 Mg/m³
N(E_F): 11.89 states/eV per cell
ΔH_f (0 K): -0.255 eV/atom
V: 263.1 Å³ per cell

a = 3.6463 Å, b = 3.6463 Å, c = 19.7861 Å
α = 90.00°, β = 90.00°, γ = 90.00°
Last column: nearest neighbours and their distance in Å.
Fractional coordinates of all 10 atoms:
Pr 0.0000 0.0000 0.0000  4 Pr 3.65, 8 Sm 3.70
Sm 0.5000 0.5000 0.1339  4 Zn 3.14
Sm 0.5000 0.5000 0.3173  8 Zn 3.14-3.16
Sm 0.5000 0.5000 0.5000  8 Zn 3.16
Sm 0.5000 0.5000 0.6827  8 Zn 3.14-3.16
Sm 0.5000 0.5000 0.8661  4 Zn 3.14
Zn 0.0000 0.0000 0.2246  8 Sm 3.14-3.16
Zn 0.0000 0.0000 0.4076  8 Sm 3.14-3.16
Zn 0.0000 0.0000 0.5924  8 Sm 3.14-3.16
Zn 0.0000 0.0000 0.7754  8 Sm 3.14-3.16

[7]
Compound: Ho3ZrP4
Source: Alexandria
Functional: PBE
Structure: optimized geometry

## Properties
density: 6.9 Mg/m³
N(E_F): 1.50 states/eV per cell
ΔH_f (0 K): -1.554 eV/atom
V: 169.8 Å³ per cell

a = 3.9114 Å, b = 6.7816 Å, c = 6.7816 Å
α = 109.29°, β = 90.00°, γ = 90.00°
Last column: nearest neighbours and their distance in Å.
Fractional coordinates of all 8 atoms:
Ho 0.0000 0.0000 0.5000  6 P 2.77
Ho 0.5000 0.5000 0.5000  6 P 2.82
Ho 0.0000 0.5000 0.0000  6 P 2.77
Zr 0.5000 0.0000 0.0000  6 P 2.71-2.72
P 0.0000 0.2405 0.2405  2 Zr 2.72, 4 Ho 2.77-2.82
P 0.5000 0.7553 0.2447  1 Zr 2.71, 5 Ho 2.77-2.82
P 0.0000 0.7595 0.7595  2 Zr 2.72, 4 Ho 2.77-2.82
P 0.5000 0.2447 0.7553  1 Zr 2.71, 5 Ho 2.77-2.82